## TbScSnHg (PBE)

Data for a relaxed TbScSnHg crystal.

Cell: 5.1674 5.1674 5.1674 Å, 60.00 60.00 60.00°
With the nearest neighbours (Å) after each atom.
Positions (direct):
Tb 0.0000 0.0000 0.0000  4 Hg 3.16, 4 Sn 3.16
Sc 0.5000 0.5000 0.5000  4 Hg 3.16, 4 Sn 3.16
Sn 0.2500 0.2500 0.2500  4 Tb 3.16, 4 Sc 3.16
Hg 0.7500 0.7500 0.7500  4 Tb 3.16, 4 Sc 3.16

Computed properties:
Energy relative to the elements in eV/atom: -0.5201

=====

## ScSnHg2Te (PBE)

Data for a relaxed ScSnHg2Te crystal.

Cell: 5.4547 5.4547 5.7841 Å, 90.00 90.00 90.00°
With the nearest neighbours (Å) after each atom.
Positions (direct):
Sc 0.0000 0.0000 0.0000  4 Hg 2.73, 2 Sn 2.89
Sn 0.0000 0.0000 0.5000  2 Sc 2.89
Hg 0.0000 0.5000 0.0000  2 Sc 2.73
Hg 0.5000 0.0000 0.0000  2 Sc 2.73
Te 0.5000 0.5000 0.5000  4 Sn 3.86, 8 Hg 3.98

Computed properties:
Uncorrected formation energy in eV per atom: 0.311

=====

## ThScSnHg (PBE)

Data for a relaxed ThScSnHg crystal.

Cell: 5.2725 5.2725 5.2725 Å, 60.00 60.00 60.00°
With the nearest neighbours (Å) after each atom.
Positions (direct):
Th 0.0000 0.0000 0.0000  4 Hg 3.23, 4 Sn 3.23
Sc 0.5000 0.5000 0.5000  4 Hg 3.23, 4 Sn 3.23
Sn 0.2500 0.2500 0.2500  4 Sc 3.23, 4 Th 3.23
Hg 0.7500 0.7500 0.7500  4 Th 3.23, 4 Sc 3.23

Computed properties:
Energy relative to the elements in eV/atom: -0.3678

=====

## ScUSnHg (PBE)

Data for a relaxed ScUSnHg crystal.

Cell: 5.1726 5.1726 5.1726 Å, 60.00 60.00 60.00°
With the nearest neighbours (Å) after each atom.
Positions (direct):
Sc 0.0000 0.0000 0.0000  4 Sn 3.17, 4 Hg 3.17
U 0.5000 0.5000 0.5000  4 Hg 3.17, 4 Sn 3.17
Sn 0.7500 0.7500 0.7500  4 U 3.17, 4 Sc 3.17
Hg 0.2500 0.2500 0.2500  4 U 3.17, 4 Sc 3.17

Computed properties:
Energy relative to the elements in eV/atom: -0.0930

=====

## YScSnHg (PBE)

Data for a relaxed YScSnHg crystal.

Cell: 5.1620 5.1620 5.1620 Å, 60.00 60.00 60.00°
With the nearest neighbours (Å) after each atom.
Positions (direct):
Y 0.0000 0.0000 0.0000  4 Hg 3.16, 4 Sn 3.16
Sc 0.5000 0.5000 0.5000  4 Hg 3.16, 4 Sn 3.16
Sn 0.2500 0.2500 0.2500  4 Sc 3.16, 4 Y 3.16
Hg 0.7500 0.7500 0.7500  4 Sc 3.16, 4 Y 3.16

Computed properties:
Energy relative to the elements in eV/atom: -0.5267

=====

## YScSnHg2 (PBE)

Data for a relaxed YScSnHg2 crystal.

Cell: 5.2843 5.2843 5.3839 Å, 90.00 90.00 90.00°
With the nearest neighbours (Å) after each atom.
Positions (direct):
Y 0.0000 0.0000 0.0000  4 Sn 3.74, 8 Hg 3.77
Sc 0.5000 0.5000 0.5000  4 Hg 2.64, 2 Sn 2.69
Sn 0.5000 0.5000 0.0000  2 Sc 2.69
Hg 0.0000 0.5000 0.5000  2 Sc 2.64
Hg 0.5000 0.0000 0.5000  2 Sc 2.64

Computed properties:
Energy relative to the elements in eV/atom: 0.1077

=====

## ScZnSnHg (PBE)

Data for a relaxed ScZnSnHg crystal.

Cell: 4.2166 4.3062 4.5511 Å, 90.00 90.00 90.00°
With the nearest neighbours (Å) after each atom.
Positions (direct):
Sc 0.0000 0.0000 0.0000  4 Sn 3.01, 4 Hg 3.10, 4 Zn 3.13
Zn 0.0000 0.5000 0.5000  4 Hg 3.01, 4 Sn 3.10, 4 Sc 3.13
Sn 0.5000 0.5000 0.0000  4 Sc 3.01, 4 Zn 3.10, 4 Hg 3.13
Hg 0.5000 0.0000 0.5000  4 Zn 3.01, 4 Sc 3.10, 4 Sn 3.13

Computed properties:
Energy relative to the elements in eV/atom: -0.3211

=====

## ZrScSnHg (PBE)

Data for a relaxed ZrScSnHg crystal.

Cell: 5.0106 5.0106 5.0106 Å, 60.00 60.00 60.00°
With the nearest neighbours (Å) after each atom.
Positions (direct):
Zr 0.0000 0.0000 0.0000  4 Hg 3.07, 4 Sn 3.07
Sc 0.5000 0.5000 0.5000  4 Hg 3.07, 4 Sn 3.07
Sn 0.2500 0.2500 0.2500  4 Zr 3.07, 4 Sc 3.07
Hg 0.7500 0.7500 0.7500  4 Zr 3.07, 4 Sc 3.07

Computed properties:
Energy relative to the elements in eV/atom: -0.3287

=====

## SrScHg4 (PBE)

Data for a relaxed SrScHg4 crystal.

Cell: 6.0187 6.0187 6.0187 Å, 60.00 60.00 60.00°
With the nearest neighbours (Å) after each atom.
Positions (direct):
Sr 0.0000 0.0000 0.0000  12 Hg 3.53, 4 Sc 3.69
Sc 0.2500 0.2500 0.2500  12 Hg 3.53, 4 Sr 3.69
Hg 0.1267 0.6244 0.6244  6 Hg 3.00-3.02
Hg 0.6244 0.1267 0.6244  6 Hg 3.00-3.02
Hg 0.6244 0.6244 0.1267  6 Hg 3.00-3.02
Hg 0.6244 0.6244 0.6244  6 Hg 3.00-3.02

Computed properties:
Energy relative to the elements in eV/atom: -0.1526

=====

## SrScHg (PBE)

Data for a relaxed SrScHg crystal.

Cell: 5.0458 5.0458 4.2115 Å, 90.00 90.00 120.00°
With the nearest neighbours (Å) after each atom.
Positions (direct):
Sr 0.0000 0.0000 0.0000  6 Hg 3.59-3.60, 6 Sc 3.59-3.60
Sc 0.3333 0.6667 0.5003  3 Hg 2.91
Hg 0.6667 0.3333 0.4985  3 Sc 2.91

Computed properties:
Energy relative to the elements in eV/atom: -0.1235
Offset from the most stable computed form in meV/atom: 181

=====

## SrScHg (PBE)

Data for a relaxed SrScHg crystal.

Cell: 6.9682 6.9682 6.9682 Å, 148.70 148.70 44.86°
With the nearest neighbours (Å) after each atom.
Positions (direct):
Sr 0.0000 0.0000 0.0000  4 Hg 3.55, 5 Sc 3.60-3.89, 4 Sr 3.76
Sc 0.7208 0.7208 0.0000  4 Hg 2.94
Hg 0.3178 0.3178 0.0000  4 Sc 2.94

Computed properties:
Energy relative to the elements in eV/atom: -0.2036
Offset from the most stable computed form in meV/atom: 101

=====

## SrScHg (PBE)

Data for a relaxed SrScHg crystal.

Cell: 5.2020 5.2020 5.2020 Å, 60.00 60.00 60.00°
With the nearest neighbours (Å) after each atom.
Positions (direct):
Sr 0.0000 0.0000 0.0000  4 Hg 3.19
Sc 0.5000 0.5000 0.5000  4 Hg 3.19
Hg 0.7500 0.7500 0.7500  4 Sc 3.19, 4 Sr 3.19

Computed properties:
Energy relative to the elements in eV/atom: 0.0204
Offset from the most stable computed form in meV/atom: 325

=====

| no. | VASP energy (eV per atom) | D(E_F) (states/eV per cell) |
| --- | --- | --- |
| 1 | -4.34 | 3.22 |
| 2 | -2.50 | 5.10 |
| 3 | -4.88 | 4.08 |
| 4 | -5.57 | 8.75 |
| 5 | -4.80 | 3.01 |
| 6 | -3.37 | 4.19 |
| 7 | -3.30 | 1.49 |
| 8 | -5.12 | 4.47 |
| 9 | -1.69 | 5.29 |
| 10 | -2.90 | 3.01 |
| 11 | -2.98 | 2.87 |
| 12 | -2.75 | 4.79 |